(1)
## Ba2CaSiHg (PBE)

Data for a relaxed Ba2CaSiHg crystal.

Summary:
Space-group type = No. 123
Formation energy from raw total energies = 0.02 eV per atom
Crystal system = tetragonal
ρ = 4.2 g cm⁻³

Cell: 6.5151 5.0323 6.5151 Å, 90.00 90.00 90.00°
Last column: magnetic moment on the atom in μB.
Positions (direct):
Ca  0.5000  0.5000  0.5000  0.05
Ba  0.5000  0.0000  0.0000  0.07
Ba  0.0000  0.0000  0.5000  0.04
Hg  0.0000  0.5000  0.0000  0.01
Si  0.0000  0.0000  0.0000  0.03



(2)
## CdP4O11 (PBE)

Data for a relaxed CdP4O11 crystal.

Summary:
Space-group type = No. 2
Formation energy from raw total energies = -1.98 eV per atom
Crystal system = triclinic
ρ = 3.0 g cm⁻³

Cell: 9.6341 9.6636 11.1893 Å, 108.93 109.03 90.25°
Positions (direct):
O  0.4268  0.4645  0.6585
O  0.4878  0.7175  0.9715
O  0.7382  0.7388  0.5464
O  0.5136  0.0925  0.8086
O  0.9760  0.7356  0.9521
O  0.8191  0.6376  0.3501
O  0.9165  0.1765  0.3829
O  0.4864  0.9075  0.1914
O  0.4311  0.8231  0.6793
O  0.4672  0.6419  0.1631
O  0.6832  0.9081  0.8769
O  0.3555  0.0373  0.3389
O  0.8965  0.4109  0.2137
O  0.3168  0.0919  0.1231
O  0.9138  0.9454  0.7391
O  0.0240  0.2644  0.0479
O  0.0437  0.6671  0.2891
O  0.1035  0.5891  0.7863
O  0.3068  0.4616  0.2032
O  0.7834  0.9865  0.5116
O  0.9563  0.3329  0.7109
O  0.6445  0.9627  0.6611
O  0.2183  0.4094  0.8961
O  0.8582  0.1402  0.1332
O  0.1809  0.3624  0.6499
O  0.8277  0.9185  0.1910
O  0.5732  0.5355  0.3415
O  0.0862  0.0546  0.2609
O  0.2166  0.0135  0.4884
O  0.1418  0.8598  0.8668
O  0.0835  0.8235  0.6171
O  0.6057  0.2719  0.6257
O  0.7495  0.2602  0.9650
O  0.2505  0.7398  0.0350
O  0.3943  0.7281  0.3743
O  0.5689  0.1769  0.3207
O  0.1723  0.0815  0.8090
O  0.8044  0.4771  0.4928
O  0.2618  0.2612  0.4536
O  0.5122  0.2825  0.0285
O  0.6932  0.5384  0.7968
O  0.1956  0.5229  0.5072
O  0.5328  0.3581  0.8369
O  0.7817  0.5906  0.1039
Cd  0.7704  0.2375  0.5108
Cd  0.2296  0.7625  0.4892
Cd  0.2569  0.2586  0.0186
Cd  0.7431  0.7414  0.9814
P  0.5665  0.9298  0.7610
P  0.9122  0.0680  0.2517
P  0.1050  0.7288  0.9093
P  0.4271  0.7497  0.0814
P  0.4185  0.5941  0.2737
P  0.5729  0.2503  0.9186
P  0.1081  0.4127  0.7682
P  0.7398  0.5876  0.4338
P  0.7734  0.9146  0.6067
P  0.5815  0.4059  0.7263
P  0.2266  0.0854  0.3933
P  0.0878  0.9320  0.7483
P  0.8919  0.5873  0.2318
P  0.4335  0.0702  0.2390
P  0.2602  0.4124  0.5662
P  0.8950  0.2712  0.0907



(3)
## CePmIrO6 (PBE)

Data for a relaxed CePmIrO6 crystal.

Summary:
Space-group type = No. 163
Formation energy from raw total energies = -2.29 eV per atom
Crystal system = trigonal
ρ = 7.2 g cm⁻³

Cell: 5.5426 5.5426 9.9697 Å, 90.00 90.00 120.00°
Last column: magnetic moment on the atom in μB.
Positions (direct):
Ir  0.3333  0.6667  0.7500  1.05
Ir  0.6667  0.3333  0.2500  1.05
O  0.0380  0.6695  0.8624  0.12
O  0.0380  0.3685  0.6376  0.12
O  0.6315  0.9620  0.8624  0.12
O  0.9620  0.6315  0.3624  0.12
O  0.3685  0.0380  0.1376  0.12
O  0.6695  0.6315  0.1376  0.12
O  0.3305  0.3685  0.8624  0.12
O  0.3685  0.3305  0.3624  0.12
O  0.3305  0.9620  0.6376  0.12
O  0.9620  0.3305  0.1376  0.12
O  0.6695  0.0380  0.3624  0.12
O  0.6315  0.6695  0.6376  0.12
Pm  0.0000  0.0000  0.5000  0.01
Pm  0.0000  0.0000  0.0000  0.01
Ce  0.3333  0.6667  0.2500  0.07
Ce  0.6667  0.3333  0.7500  0.07



(4)
## Ac2Os2O7 (PBE)

Data for a relaxed Ac2Os2O7 crystal.

Summary:
Space-group type = No. 227
Formation energy from raw total energies = -1.96 eV per atom
Crystal system = cubic
ρ = 10.1 g cm⁻³
Polymorph energy (0 for the lowest one) = 32 meV/atom

Cell: 7.6077 7.6077 7.6077 Å, 60.00 60.00 60.00°
Last column: magnetic moment on the atom in μB.
Positions (direct):
O  0.4474  0.0526  0.4474  0.03
O  0.1974  0.1974  0.8026  0.03
O  0.1974  0.8026  0.8026  0.03
O  0.5000  0.5000  0.5000  0.00
O  0.4474  0.4474  0.0526  0.03
O  0.0526  0.4474  0.0526  0.03
O  0.4474  0.0526  0.0526  0.03
O  0.7500  0.7500  0.7500  0.00
O  0.0526  0.0526  0.4474  0.03
O  0.8026  0.8026  0.1974  0.03
O  0.8026  0.1974  0.8026  0.03
O  0.0526  0.4474  0.4474  0.03
O  0.1974  0.8026  0.1974  0.03
O  0.8026  0.1974  0.1974  0.03
Os  0.1250  0.6250  0.1250  0.36
Os  0.1250  0.1250  0.1250  0.36
Os  0.6250  0.1250  0.1250  0.36
Os  0.1250  0.1250  0.6250  0.36
Ac  0.1250  0.6250  0.6250  0.00
Ac  0.6250  0.6250  0.6250  0.00
Ac  0.6250  0.6250  0.1250  0.00
Ac  0.6250  0.1250  0.6250  0.00



Question: The highest formation energy from raw total energies belongs to which entry?
Answer: Ba2CaSiHg